DFT (PBE) results for a relaxed structure of Mg8In6Bi.

Structure (extended XYZ):
```
15
Lattice="4.7061 2.7171 5.0076 -4.7061 2.7171 5.0076 0.0000 -5.4342 5.0076" Properties=species:S:1:pos:R:3 pbc="T T T"
Mg -1.5574 -3.3679 6.4286
Mg -3.6954 -0.3352 8.5943
Mg 0.0000 0.0000 3.5344
Mg -2.1380 3.0327 6.4286
Mg 2.1380 -3.0327 8.5943
Mg 0.0000 0.0000 11.4886
Mg 3.6954 0.3352 6.4286
Mg 1.5574 3.3679 8.5943
In -1.8867 -0.2464 6.1614
In -0.7300 -1.7571 8.8615
In 1.1567 -1.5107 6.1614
In -1.1567 1.5107 8.8615
In 0.7300 1.7571 6.1614
In 1.8867 0.2464 8.8615
Bi 0.0000 0.0000 0.0000
```

## Properties
The formation energy is -6 meV/atom. The space group is R-3, No. 148. For the total energy, the calculation gives -33.165 eV for the cell shown.

DFT (PBE) results for a relaxed structure of HoSc2Ga9.

Structure (extended XYZ):
```
12
Lattice="4.1651 0.0000 0.0000 0.0000 4.1651 0.0000 0.0000 0.0000 12.4867" Properties=species:S:1:pos:R:3 pbc="T T T"
Ho 0.0000 0.0000 0.0000
Sc 0.0000 0.0000 4.2085
Sc 0.0000 0.0000 8.2782
Ga 0.0000 2.0826 2.1652
Ga 0.0000 2.0826 6.2433
Ga 0.0000 2.0826 10.3215
Ga 2.0826 0.0000 2.1652
Ga 2.0826 0.0000 6.2433
Ga 2.0826 0.0000 10.3215
Ga 2.0826 2.0826 0.0000
Ga 2.0826 2.0826 4.1844
Ga 2.0826 2.0826 8.3023
```

## Properties
The formation energy is -512 meV/atom. The space group is P4/mmm, No. 123. For the total energy, the calculation gives -50.627 eV for the cell shown.

DFT (PBE) results for a relaxed structure of SrCaTe2.

Structure (extended XYZ):
```
8
Lattice="4.5146 0.0000 0.0000 0.0000 4.5146 0.0000 0.0000 0.0000 14.1916" Properties=species:S:1:pos:R:3 pbc="T T T"
Sr 0.0000 0.0000 0.0000
Sr 2.2573 2.2573 7.0958
Ca 0.0000 2.2573 3.5479
Ca 2.2573 0.0000 10.6437
Te 0.0000 0.0000 7.0958
Te 0.0000 2.2573 10.6437
Te 2.2573 0.0000 3.5479
Te 2.2573 2.2573 0.0000
```

## Properties
The space group is I-4m2, No. 119. For the uncorrected formation energy, the calculation gives -128.12 kJ/mol of atoms. For the total energy, the calculation gives -30.557 eV for the cell shown. The value obtained for the polymorph energy (0 for the lowest one) is 366 meV/atom.

DFT (PBE) results for a relaxed structure of ThH4Ru.

Structure (extended XYZ):
```
12
Lattice="1.9891 -6.0970 0.0000 1.9891 6.0970 0.0000 0.0000 0.0000 4.8428" Properties=species:S:1:pos:R:3 pbc="T T T"
Th 1.9891 4.4706 3.6321
Th 1.9891 -4.4706 1.2107
H 1.9891 4.9096 1.2107
H 1.9891 2.4329 0.1062
H 1.9891 2.4329 2.3152
H 1.9891 0.0000 0.0000
H 1.9891 0.0000 2.4214
H 1.9891 -2.4329 2.5276
H 1.9891 -2.4329 4.7366
H 1.9891 -4.9096 3.6321
Ru 1.9891 1.2924 3.6321
Ru 1.9891 -1.2924 1.2107
```

## Properties
The space group is Cmcm, No. 63. For the total energy, the calculation gives -64.862 eV for the cell shown.

DFT (PBE) results for a relaxed structure of NaLi2Hg10.

Structure (extended XYZ):
```
13
Lattice="0.0000 6.6084 7.7842 3.1937 0.0000 7.7842 3.1937 6.6084 0.0000" Properties=species:S:1:pos:R:3 pbc="T T T"
Na 0.0000 0.0000 0.0000
Li 1.5969 0.0000 3.8921
Li 1.5969 6.6084 3.8921
Hg 1.5969 3.3042 0.0000
Hg 3.1937 4.6276 2.5935
Hg 3.1937 5.0973 5.8028
Hg 3.1937 8.5893 2.5935
Hg 3.1937 8.1195 5.8028
Hg 1.5969 3.3042 7.7842
Hg 3.1937 5.0973 9.7656
Hg 3.1937 4.6276 12.9749
Hg 3.1937 8.1195 9.7656
Hg 3.1937 8.5893 12.9749
```

## Properties
The formation energy is -145 meV/atom. The space group is Fmmm, No. 69. For the total energy, the calculation gives -10.049 eV for the cell shown.

DFT (PBE) results for a relaxed structure of DyCuGe.

Structure (extended XYZ):
```
3
Lattice="4.2143 0.0000 0.0000 -2.1072 3.6497 0.0000 0.0000 0.0000 3.7484" Properties=species:S:1:pos:R:3 pbc="T T T"
Dy 0.0000 0.0000 0.0000
Cu 0.0000 2.4331 1.8742
Ge 2.1072 1.2166 1.8742
```

## Properties
The formation energy is -650 meV/atom. The space group is P-6m2, No. 187. For the total energy, the calculation gives -15.266 eV for the cell shown.

DFT (PBE) results for a relaxed structure of LiCa2PrSe4.

Structure (extended XYZ):
```
8
Lattice="7.1917 0.0000 0.0000 0.0000 4.2377 0.0000 -2.3533 0.0000 6.8784" Properties=species:S:1:pos:R:3 pbc="T T T"
Li 0.0000 0.0000 0.0000
Ca -1.1766 2.1189 3.4392
Ca 2.4192 0.0000 3.4392
Pr 3.5959 2.1189 0.0000
Se -0.0094 0.0000 5.1798
Se 1.2006 2.1189 1.7151
Se 3.6379 2.1189 5.1633
Se 4.8479 0.0000 1.6986
```

## Properties
The space group is P2/m, No. 10. For the uncorrected formation energy, the calculation gives -175.51 kJ/mol of atoms. For the total energy, the calculation gives -39.187 eV for the cell shown.

DFT (PBE) results for a relaxed structure of LiBi2Pt2.

Structure (extended XYZ):
```
10
Lattice="5.4568 0.0000 0.0000 0.0000 5.4568 0.0000 0.0000 0.0000 7.9783" Properties=species:S:1:pos:R:3 pbc="T T T"
Li 0.0000 0.0000 0.0000
Li 2.7284 2.7284 3.9891
Bi 0.0000 2.7284 1.9946
Bi 0.0000 2.7284 5.9837
Bi 2.7284 0.0000 1.9946
Bi 2.7284 0.0000 5.9837
Pt 0.0000 0.0000 2.6749
Pt 0.0000 0.0000 5.3034
Pt 2.7284 2.7284 1.3142
Pt 2.7284 2.7284 6.6640
```

## Properties
The formation energy is -182 meV/atom. The space group is I4/mmm, No. 139. For the total energy, the calculation gives -45.338 eV for the cell shown. The value obtained for the polymorph energy (0 for the lowest one) is 159 meV/atom.

DFT (PBE) results for a relaxed structure of Sr3SnGe3.

Structure (extended XYZ):
```
14
Lattice="2.3602 -5.7392 0.0000 2.3602 5.7392 0.0000 0.0000 0.0000 14.7367" Properties=species:S:1:pos:R:3 pbc="T T T"
Sr 2.3602 5.6951 11.0525
Sr 2.3602 2.3649 8.8389
Sr 2.3602 2.3649 13.2661
Sr 2.3602 -2.3649 1.4706
Sr 2.3602 -2.3649 5.8978
Sr 2.3602 -5.6951 3.6842
Sn 0.0000 0.0000 0.0000
Sn 0.0000 0.0000 7.3683
Ge 2.3602 2.4782 3.6842
Ge 2.3602 0.9685 1.5767
Ge 2.3602 0.9685 5.7917
Ge 2.3602 -0.9685 8.9450
Ge 2.3602 -0.9685 13.1600
Ge 2.3602 -2.4782 11.0525
```

## Properties
The formation energy is -561 meV/atom. The space group is Cmcm, No. 63. For the total energy, the calculation gives -53.649 eV for the cell shown.

DFT (PBE) results for a relaxed structure of Nd3Dy2Er8.

Structure (extended XYZ):
```
13
Lattice="10.0133 -3.8433 0.0000 10.0133 3.8433 0.0000 -0.0027 0.0000 5.6064" Properties=species:S:1:pos:R:3 pbc="T T T"
Nd 0.0000 0.0000 0.0000
Nd 10.0119 1.5950 2.8032
Nd 10.0119 -1.5950 2.8032
Dy 4.8249 0.0000 5.6024
Dy 15.1988 0.0000 0.0040
Er 2.7062 0.0000 2.8023
Er 7.8142 1.6053 5.6046
Er 6.5814 0.0000 2.7994
Er 12.2096 1.6053 0.0018
Er 7.8142 -1.6053 5.6046
Er 13.4424 0.0000 2.8070
Er 12.2096 -1.6053 0.0018
Er 17.3176 0.0000 2.8041
```

## Properties
The formation energy is 254 meV/atom. The space group is C2/m, No. 12. For the total energy, the calculation gives -56.712 eV for the cell shown. The value obtained for the polymorph energy (0 for the lowest one) is 230 meV/atom.

DFT (PBE) results for a relaxed structure of Pt2AuBr.

Structure (extended XYZ):
```
16
Lattice="7.3712 0.0000 0.0000 0.0000 7.3712 0.0000 0.0000 0.0000 5.6205" Properties=species:S:1:pos:R:3 pbc="T T T"
Pt 1.8028 1.8428 0.7026
Pt 1.8428 5.4884 2.1077
Pt 1.8428 5.5684 4.9179
Pt 1.8828 1.8428 3.5128
Pt 5.4884 5.5284 3.5128
Pt 5.5284 1.8028 4.9179
Pt 5.5284 1.8828 2.1077
Pt 5.5684 5.5284 0.7026
Au 0.0000 0.0000 2.8102
Au 0.0000 3.6856 4.2153
Au 3.6856 0.0000 1.4051
Au 3.6856 3.6856 0.0000
Br 0.0000 0.0000 0.0000
Br 0.0000 3.6856 1.4051
Br 3.6856 0.0000 4.2153
Br 3.6856 3.6856 2.8102
```

## Properties
The space group is I-42d, No. 122. For the uncorrected formation energy, the calculation gives 58.25 kJ/mol of atoms. For the total energy, the calculation gives -58.468 eV for the cell shown. The value obtained for the polymorph energy (0 for the lowest one) is 345 meV/atom.

DFT (PBE) results for a relaxed structure of Os2PbBr.

Structure (extended XYZ):
```
4
Lattice="2.9950 0.0000 0.0000 0.0000 4.6748 0.0000 0.0000 0.0000 5.2880" Properties=species:S:1:pos:R:3 pbc="T T T"
Os 0.0000 0.0000 0.0000
Os 1.4975 0.0000 2.6440
Pb 0.0000 2.3374 2.6440
Br 1.4975 2.3374 0.0000
```

## Properties
The space group is Pmmm, No. 47. For the uncorrected formation energy, the calculation gives 131.75 kJ/mol of atoms. For the total energy, the calculation gives -22.379 eV for the cell shown. The value obtained for the polymorph energy (0 for the lowest one) is 876 meV/atom.

DFT (PBE) results for a relaxed structure of Bi2PtS2.

Structure (extended XYZ):
```
10
Lattice="7.8210 0.0000 0.0000 0.0000 7.8210 0.0000 0.0000 0.0000 3.6477" Properties=species:S:1:pos:R:3 pbc="T T T"
Bi 1.4250 2.4855 0.0000
Bi 2.4855 6.3959 0.0000
Bi 5.3355 1.4250 0.0000
Bi 6.3959 5.3355 0.0000
Pt 0.0000 0.0000 1.8239
Pt 3.9105 3.9105 1.8239
S 1.0745 4.9850 1.8239
S 2.8360 1.0745 1.8239
S 4.9850 6.7465 1.8239
S 6.7465 2.8360 1.8239
```

## Properties
The space group is P4/mbm, No. 127. For the uncorrected formation energy, the calculation gives 21.36 kJ/mol of atoms. For the total energy, the calculation gives -41.902 eV for the cell shown.

DFT (PBE) results for a relaxed structure of Si2PRu2.

Structure (extended XYZ):
```
10
Lattice="6.9647 0.0000 0.0000 0.0000 6.9647 0.0000 0.0000 0.0000 2.8487" Properties=species:S:1:pos:R:3 pbc="T T T"
Si 0.9551 2.5273 0.0000
Si 2.5273 6.0096 0.0000
Si 4.4375 0.9551 0.0000
Si 6.0096 4.4375 0.0000
P 0.0000 0.0000 1.4244
P 3.4824 3.4824 1.4244
Ru 1.0951 4.5774 1.4244
Ru 2.3873 1.0951 1.4244
Ru 4.5774 5.8697 1.4244
Ru 5.8697 2.3873 1.4244
```

## Properties
The space group is P4/mbm, No. 127. For the uncorrected formation energy, the calculation gives -24.06 kJ/mol of atoms. For the total energy, the calculation gives -72.108 eV for the cell shown. The value obtained for the polymorph energy (0 for the lowest one) is 0 meV/atom.

DFT (PBE) results for a relaxed structure of Zr3Ag.

Structure (extended XYZ):
```
8
Lattice="5.1623 0.0000 0.0000 0.0000 6.0963 0.0000 0.0000 0.0000 5.4993" Properties=species:S:1:pos:R:3 pbc="T T T"
Zr 1.2906 0.0107 0.7391
Zr 1.2906 1.5241 3.4736
Zr 1.2906 3.0375 0.7391
Zr 3.8717 3.0588 4.7602
Zr 3.8717 4.5723 2.0257
Zr 3.8717 6.0857 4.7602
Ag 1.2906 4.5723 3.5839
Ag 3.8717 1.5241 1.9154
```

## Properties
The formation energy is 44 meV/atom. The space group is Pmmn, No. 59. For the total energy, the calculation gives -56.636 eV for the cell shown.

DFT (PBE) results for a relaxed structure of Dy6HgP2S3.

Structure (extended XYZ):
```
12
Lattice="8.7439 -1.9833 0.0000 8.7439 1.9833 0.0000 -1.8794 0.0000 7.8955" Properties=species:S:1:pos:R:3 pbc="T T T"
Dy -0.4819 0.0000 2.1292
Dy 4.0218 0.0000 7.1528
Dy 4.9793 0.0000 3.3357
Dy 10.6291 0.0000 4.5598
Dy 11.5867 0.0000 0.7427
Dy 16.0903 0.0000 5.7663
Hg 8.7439 0.0000 0.0000
P 2.2893 0.0000 2.6416
P 13.3192 0.0000 5.2539
S 1.3651 0.0000 6.5670
S 7.8042 0.0000 3.9477
S 14.2433 0.0000 1.3284
```

## Properties
The space group is C2/m, No. 12. For the uncorrected formation energy, the calculation gives -154.30 kJ/mol of atoms. For the total energy, the calculation gives -70.307 eV for the cell shown.

DFT (PBE) results for a relaxed structure of Ac4La3Pr5.

Structure (extended XYZ):
```
12
Lattice="8.5548 -3.1825 0.0000 8.5548 3.1825 0.0000 -4.6426 0.0000 8.8214" Properties=species:S:1:pos:R:3 pbc="T T T"
Ac -0.6050 0.0000 3.7960
Ac -0.3834 0.0000 7.6997
Ac 12.8504 0.0000 1.1217
Ac 13.0720 0.0000 5.0254
La 0.0000 0.0000 0.0000
La 2.8346 0.0000 5.3775
La 9.6324 0.0000 3.4438
Pr 2.5369 0.0000 1.9972
Pr 5.8791 0.0000 2.6718
Pr 8.5548 0.0000 0.0000
Pr 6.5879 0.0000 6.1496
Pr 9.9301 0.0000 6.8241
```

## Properties
The formation energy is 170 meV/atom. The space group is C2/m, No. 12. For the total energy, the calculation gives -53.079 eV for the cell shown.

DFT (PBE) results for a relaxed structure of LiCd2Hg3.

Structure (extended XYZ):
```
12
Lattice="5.0268 -4.0983 0.0000 5.0268 4.0983 0.0000 -0.9555 0.0000 6.7211" Properties=species:S:1:pos:R:3 pbc="T T T"
Li 4.3102 3.5226 5.0408
Li 4.7880 -3.5226 1.6803
Cd 3.4592 1.9801 2.5168
Cd 6.1167 1.9801 0.8438
Cd 2.9815 -1.9801 5.8774
Cd 5.6390 -1.9801 4.2043
Hg 2.1445 0.5749 0.1020
Hg 1.6667 -0.5749 3.4625
Hg 4.3102 0.6983 5.0408
Hg 4.7880 -0.6983 1.6803
Hg 7.4314 0.5749 3.2586
Hg 6.9537 -0.5749 6.6191
```

## Properties
The formation energy is -96 meV/atom. The space group is C2/c, No. 15. For the total energy, the calculation gives -10.446 eV for the cell shown. The value obtained for the polymorph energy (0 for the lowest one) is 25 meV/atom.

DFT (PBE) results for a relaxed structure of Ac2PrAs3Rh12.

Structure (extended XYZ):
```
18
Lattice="4.6665 2.6942 4.3644 -4.6665 2.6942 4.3644 0.0000 -5.3884 4.3644" Properties=species:S:1:pos:R:3 pbc="T T T"
Ac 0.0000 0.0000 1.8738
Ac 0.0000 0.0000 11.2194
Pr 0.0000 0.0000 6.5466
As -2.3332 -1.3471 4.3644
As -2.3332 1.3471 8.7288
As 0.0000 2.6942 4.3644
Rh 0.0000 -2.5603 3.7050
Rh -2.2173 1.2801 3.7050
Rh -2.3714 -1.3691 6.7529
Rh 0.0000 -2.7382 6.3403
Rh -2.3714 1.3691 6.3403
Rh -2.2173 -1.2801 9.3882
Rh 2.2173 1.2801 3.7050
Rh 2.3714 -1.3691 6.7529
Rh 0.0000 2.7382 6.7529
Rh 2.3714 1.3691 6.3403
Rh 2.2173 -1.2801 9.3882
Rh 0.0000 2.5603 9.3882
```

## Properties
The formation energy is -211 meV/atom. The space group is R-3m, No. 166. For the total energy, the calculation gives -118.960 eV for the cell shown.

DFT (PBE) results for a relaxed structure of AcErZn2Au5.

Structure (extended XYZ):
```
9
Lattice="4.7156 0.0000 0.0000 0.0000 4.7156 0.0000 0.0000 0.0000 8.8652" Properties=species:S:1:pos:R:3 pbc="T T T"
Ac 0.0000 0.0000 0.0000
Er 0.0000 0.0000 4.4326
Zn 2.3578 2.3578 3.2268
Zn 2.3578 2.3578 5.6385
Au 0.0000 2.3578 2.2554
Au 0.0000 2.3578 6.6099
Au 2.3578 0.0000 2.2554
Au 2.3578 0.0000 6.6099
Au 2.3578 2.3578 0.0000
```

## Properties
The formation energy is -481 meV/atom. The space group is P4/mmm, No. 123. For the total energy, the calculation gives -31.936 eV for the cell shown.